1.
# Pu2Si4Tc3

Pu2Si4Tc3 after structural relaxation (GGA-PBE, the Alexandria database).

Structure (POSCAR):
```
Pu2Si4Tc3
1.0
6.759 0.000 0.000
0.000 6.734 0.000
-2.404 0.000 6.437
Pu Si Tc
4 8 6
direct
0.181 0.157 0.049
0.181 0.343 0.549
0.819 0.657 0.451
0.819 0.843 0.951
0.104 0.552 0.881
0.104 0.948 0.381
0.494 0.645 0.636
0.494 0.855 0.136
0.506 0.145 0.864
0.506 0.355 0.364
0.896 0.052 0.619
0.896 0.448 0.119
0.247 0.650 0.258
0.247 0.850 0.758
0.500 0.000 0.500
0.500 0.500 0.000
0.753 0.150 0.242
0.753 0.350 0.742
```

Raw formation energy in eV per atom: -0.559
Mass density in g/cm³: 10.139
Crystal system: monoclinic

2.
# PuSi3Tc5

PuSi3Tc5 after structural relaxation (GGA-PBE, the Alexandria database).

Structure (POSCAR):
```
PuSi3Tc5
1.0
2.124 -6.112 0.000
2.124 6.112 0.000
0.000 0.000 11.332
Pu Si Tc
2 6 10
direct
0.149 0.851 0.750
0.851 0.149 0.250
0.152 0.848 0.250
0.405 0.595 0.077
0.405 0.595 0.423
0.595 0.405 0.577
0.595 0.405 0.923
0.848 0.152 0.750
0.000 0.000 0.000
0.000 0.000 0.500
0.207 0.793 0.038
0.207 0.793 0.462
0.406 0.594 0.645
0.406 0.594 0.855
0.594 0.406 0.145
0.594 0.406 0.355
0.793 0.207 0.538
0.793 0.207 0.962
```

Raw formation energy in eV per atom: -0.266
Mass density in g/cm³: 9.236
Crystal system: orthorhombic

3.
# Pu2Si2Tc

Pu2Si2Tc after structural relaxation (GGA-PBE, the Alexandria database).

Structure (POSCAR):
```
Pu2Si2Tc
1.0
5.086 -2.141 0.000
5.086 2.141 0.000
-4.607 0.000 8.861
Pu Si Tc
4 4 2
direct
0.097 0.097 0.402
0.325 0.325 0.813
0.675 0.675 0.187
0.903 0.903 0.598
0.074 0.074 0.930
0.385 0.385 0.380
0.615 0.615 0.620
0.926 0.926 0.070
0.341 0.341 0.118
0.659 0.659 0.882
```

Raw formation energy in eV per atom: -0.429
Mass density in g/cm³: 11.054
Crystal system: monoclinic

Looking at energy for the records above, in order, we have -9.61; -9.42; -10.40 eV per atom.